Entry from Alexandria: a geometry-optimized BaLiNb3 structure (PBE-GGA).

Lattice parameters (Å, degrees): 5.1068 5.1068 5.1068 90.00 90.00 90.00
Last column: nearest neighbours and their distance in Å.
Space group Pm-3m (No. 221)
Asymmetric unit:
Ba 0.0000 0.0000 0.0000  6 Nb 2.55
Li 0.5000 0.5000 0.5000  12 Nb 3.61
Nb 0.0000 0.0000 0.5000  2 Ba 2.55

Output
Energy relative to the lowest polymorph listed for this composition (meV/atom): 918
DOS at the Fermi energy (states/eV/f.u.): 3.67
Volume (A^3/atom): 26.64
Formation energy (eV per atom): 2.383
Energy (eV per atom): -4.43

Entry from Alexandria: a geometry-optimized Pr4ZnNi3 structure (PBE-GGA).

Lattice parameters (Å, degrees): 3.9235 4.4317 10.8286 90.00 90.00 90.00
Last column: nearest neighbours and their distance in Å.
Space group Pmm2 (No. 25)
Asymmetric unit:
Pr 0.0000 0.0000 0.0000  6 Ni 2.92-3.05
Pr 0.0000 0.5000 0.2642  6 Ni 2.89-3.04
Pr 0.5000 0.0000 0.4787  5 Ni 3.03-3.10, 2 Zn 3.05
Pr 0.5000 0.5000 0.7716  3 Ni 2.98-3.21, 4 Zn 3.08
Zn 0.0000 0.0000 0.6938  2 Ni 2.62
Ni 0.0000 0.5000 0.5647  2 Zn 2.62
Ni 0.5000 0.0000 0.1992  2 Ni 2.63, 2 Pr 2.92
Ni 0.5000 0.5000 0.0677  2 Ni 2.63, 2 Pr 2.89

Output
DOS at the Fermi energy (states/eV/f.u.): 6.81
Volume (A^3/atom): 23.54
Formation energy (eV per atom): -0.281
Energy (eV per atom): -5.00